# 1
A plane-wave DFT calculation with PBE was carried out for a relaxed structure of Na2TcBr6.

Cell: 7.031 7.418 12.318 Å, 90.00 123.22 90.00°
Space group P2_1/c (No. 14)
Inequivalent atoms, fractional coordinates:
Na 0.198 0.095 0.236
Tc 0.500 0.000 0.000
Br 0.151 0.184 0.942
Br 0.269 0.712 0.941
Br 0.393 0.030 0.768

The value obtained for the raw total energy is -3.468 eV per atom.



# 2
A plane-wave DFT calculation with PBE was carried out for a relaxed structure of NaTcBr3.

Cell: 5.103 7.935 9.510 Å, 75.69 89.52 71.36°
Space group P1 (No. 1)
Inequivalent atoms, fractional coordinates:
Na 0.000 0.000 0.000
Na 0.480 0.031 0.260
Tc 0.489 0.515 0.630
Tc 0.991 0.515 0.630
Br 0.232 0.538 0.397
Br 0.248 0.491 0.863
Br 0.576 0.846 0.034
Br 0.591 0.814 0.591
Br 0.888 0.215 0.669
Br 0.904 0.185 0.226

The value obtained for the raw total energy is -3.841 eV per atom. For the energy above the most stable polymorph in this dataset, the calculation gives 0.00 eV/f.u.



# 3
A plane-wave DFT calculation with PBE was carried out for a relaxed structure of NaTcBr3.

Cell: 5.260 5.260 5.260 Å, 90.00 90.00 90.00°
Space group Pm-3m (No. 221)
Inequivalent atoms, fractional coordinates:
Na 0.000 0.000 0.000
Tc 0.500 0.500 0.500
Br 0.000 0.500 0.500

The value obtained for the raw total energy is -3.729 eV per atom. For the energy above the most stable polymorph in this dataset, the calculation gives 0.56 eV/f.u.



Q: raw total energy of number 1 (Na2TcBr6)?
A: -3.468 eV per atom



Q: What is the raw total energy in the first record?
A: -3.468 eV per atom